(1)
Entry from Alexandria: crystalline GeTe2RhN at its relaxed geometry (PBE).

The structure in POSCAR format:
```
GeTe2RhN
1.0
5.476 0.000 0.000
0.000 5.476 0.000
0.000 0.000 3.453
Te Rh N Ge
2 1 1 1
direct
0.000 0.500 0.000
0.500 0.000 0.000
0.500 0.500 0.500
0.000 0.000 0.500
0.000 0.000 0.000
```

As for the energy above the most stable polymorph in this dataset: 10.42 kcal/mol of atoms. The space group is No. 123. The formation energy without anion corrections comes out at 854 meV/atom. The total magnetization comes out at 0.00 μB per cell.


(2)
Entry from Alexandria: crystalline LiAlGe at its relaxed geometry (PBE).

The structure in POSCAR format:
```
LiAlGe
1.0
-3.927 -0.213 1.089
0.778 -0.960 2.615
0.345 7.863 2.785
Ge Al Li
2 2 2
direct
0.000 0.000 0.004
0.000 0.000 0.665
0.000 0.000 0.329
0.500 0.500 0.492
0.500 0.500 0.155
0.500 0.500 0.838
```

The space group is No. 25. As for the energy of formation from the pure elements: -0.10 eV per atom. The total magnetization comes out at 0.00 μB per cell.


(3)
Entry from Alexandria: crystalline Tl2TeSe at its relaxed geometry (PBE).

The structure in POSCAR format:
```
Tl2TeSe
1.0
-2.106 3.734 1.225
-3.683 -1.938 -0.426
0.272 -1.876 6.186
Se Tl Te
1 2 1
direct
0.500 0.500 0.250
0.000 0.000 0.493
0.000 0.000 0.007
0.500 0.500 0.750
```

As for the energy above the most stable polymorph in this dataset: 2.22 kcal/mol of atoms. The space group is No. 47. The formation energy without anion corrections comes out at -120 meV/atom. The total magnetization comes out at 0.00 μB per cell.


(4)
Entry from Alexandria: crystalline BaNa2CaPd at its relaxed geometry (PBE).

The structure in POSCAR format:
```
BaNa2CaPd
1.0
5.799 0.000 0.000
0.000 5.799 0.000
0.000 0.000 5.488
Pd Ba Ca Na
1 1 1 2
direct
0.000 0.000 0.000
0.500 0.500 0.500
0.000 0.000 0.500
0.000 0.500 0.000
0.500 0.000 0.000
```

The space group is No. 123. As for the energy of formation from the pure elements: -0.07 eV per atom. The total magnetization comes out at 0.00 μB per cell.


(5)
Entry from Alexandria: crystalline PrEuDySn at its relaxed geometry (PBE).

The structure in POSCAR format:
```
PrEuDySn
1.0
5.546 0.000 0.000
2.773 4.803 0.000
2.773 1.601 4.528
Sn Eu Dy Pr
1 1 1 1
direct
0.250 0.250 0.250
0.750 0.750 0.750
0.500 0.500 0.500
0.000 0.000 0.000
```

The space group is No. 216. As for the energy of formation from the pure elements: -0.26 eV per atom. The total magnetization comes out at 7.77 μB per cell.


(6)
Entry from Alexandria: crystalline KNdMg4 at its relaxed geometry (PBE).

The structure in POSCAR format:
```
KNdMg4
1.0
-6.207 -0.514 1.045
-2.829 -5.626 -0.485
-2.097 -2.937 5.183
Nd K Mg
1 1 4
direct
0.000 0.000 0.000
0.250 0.250 0.250
0.626 0.121 0.626
0.121 0.626 0.626
0.626 0.626 0.121
0.626 0.626 0.626
```

The space group is No. 216. As for the energy of formation from the pure elements: 0.10 eV per atom. The total magnetization comes out at 0.00 μB per cell.


(7)
Entry from Alexandria: crystalline Pa2PAu at its relaxed geometry (PBE).

The structure in POSCAR format:
```
Pa2PAu
1.0
-2.765 1.637 -2.013
-0.280 -0.659 -3.723
-5.540 -5.607 -0.521
Pa P Au
2 1 1
direct
0.740 0.740 0.779
0.260 0.260 0.221
0.000 0.000 0.000
0.500 0.500 0.500
```

As for the energy above the most stable polymorph in this dataset: 0.00 kcal/mol of atoms. The space group is No. 166. As for the energy of formation from the pure elements: -0.66 eV per atom. The total magnetization comes out at 0.00 μB per cell.


(8)
Entry from Alexandria: crystalline NiAgBr2 at its relaxed geometry (PBE).

The structure in POSCAR format:
```
NiAgBr2
1.0
4.100 -0.059 0.000
-2.486 3.260 0.000
0.000 0.000 7.729
Br Ni Ag
2 1 1
direct
0.000 0.000 0.469
0.000 0.000 0.031
0.500 0.500 0.250
0.500 0.500 0.750
```

As for the energy above the most stable polymorph in this dataset: 4.15 kcal/mol of atoms. The space group is No. 65. The formation energy without anion corrections comes out at 60 meV/atom. The total magnetization comes out at 0.97 μB per cell.